10
Lattice="3.687 0.000 0.000 0.000 2.724 0.000 0.000 0.000 13.856" Properties=species:S:1:pos:R:3 comment="Ni4PdPt5, relaxed, DFT PBE-GGA" sg=Pmmm e_form_kj_per_mol_atoms=-7.49 polymorph_energy_mev_per_atom=0 pbc="T T T"
Ni 0.000 0.000 8.275
Ni 0.000 0.000 10.979
Ni 0.000 0.000 5.581
Ni 0.000 0.000 2.877
Pd 0.000 0.000 0.000
Pt 1.843 1.362 6.928
Pt 1.843 1.362 4.232
Pt 1.843 1.362 12.326
Pt 1.843 1.362 9.624
Pt 1.843 1.362 1.530


11
Lattice="6.492 -1.695 1.842 -1.622 4.226 0.140 0.610 -1.560 5.649" Properties=species:S:1:pos:R:3 comment="Ni7PdPt3, relaxed, DFT PBE-GGA" sg=P1 e_form_kj_per_mol_atoms=-4.11 pbc="T T T"
Ni 4.589 0.324 5.025
Ni 3.642 0.031 2.608
Ni -0.267 1.901 1.120
Ni 1.052 -0.129 2.292
Ni 3.308 -1.799 5.842
Ni 1.994 0.188 4.662
Ni 5.886 -1.659 6.205
Pt 3.338 2.307 3.966
Pt 2.315 1.989 1.386
Pt 0.671 2.139 3.530
Pd 5.593 0.611 7.493


20
Lattice="4.970 0.000 0.000 0.000 6.273 0.000 0.000 0.000 10.294" Properties=species:S:1:pos:R:3 comment="NiPdPt3, relaxed, DFT PBE-GGA" sg=Pnma e_form_kj_per_mol_atoms=20.14 polymorph_energy_mev_per_atom=108 pbc="T T T"
Pt 0.004 5.797 9.090
Pt 0.004 5.797 6.351
Pt 2.482 2.660 1.204
Pt 3.701 4.732 2.573
Pt 1.269 1.541 7.720
Pt 2.489 3.613 9.090
Pt 1.216 4.678 2.573
Pt 4.967 0.477 1.204
Pt 2.482 2.660 3.943
Pt 2.489 3.613 6.351
Pt 3.754 1.595 7.720
Pt 4.967 0.477 3.943
Pd 2.485 0.000 0.000
Pd 0.000 3.137 0.000
Pd 0.000 3.137 5.147
Pd 2.485 0.000 5.147
Ni 2.424 0.608 2.573
Ni 2.546 5.665 7.720
Ni 0.061 3.745 7.720
Ni 4.909 2.528 2.573


29
Lattice="7.244 0.000 4.182 2.415 6.829 4.182 0.000 0.000 8.364" Properties=species:S:1:pos:R:3 comment="Ni16Pd6Pt7, relaxed, DFT PBE-GGA" sg=Fm-3m e_form_kj_per_mol_atoms=11.51 pbc="T T T"
Ni 1.660 1.173 2.874
Ni 4.829 5.927 8.364
Ni 2.461 4.252 8.364
Ni 3.645 2.577 10.415
Ni 7.197 2.577 8.364
Ni 3.645 2.577 6.313
Ni 5.734 5.656 12.546
Ni 6.013 4.252 10.415
Ni 1.660 1.173 5.490
Ni 7.999 5.656 11.239
Ni 2.415 3.309 4.182
Ni 4.829 0.903 8.364
Ni 6.013 4.252 6.313
Ni 3.924 1.173 4.182
Ni 7.999 5.656 13.854
Ni 7.244 3.520 12.546
Pt 3.622 0.000 2.091
Pt 4.829 3.415 4.182
Pt 4.829 3.415 8.364
Pt 0.000 0.000 4.182
Pt 1.207 3.415 6.273
Pt 3.622 0.000 6.273
Pt 1.207 3.415 2.091
Pd 3.496 5.300 6.055
Pd 2.163 1.529 8.364
Pd 7.495 5.300 8.364
Pd 6.162 1.529 10.673
Pd 3.496 5.300 10.673
Pd 6.162 1.529 6.055


20
Lattice="-6.097 5.464 -0.548 -4.933 -5.471 0.339 3.642 4.543 4.784" Properties=species:S:1:pos:R:3 comment="NiPdPt3, relaxed, DFT PBE-GGA" sg=P2_1/c e_form_kj_per_mol_atoms=9.70 polymorph_energy_mev_per_atom=0 pbc="T T T"
Pt -6.809 5.011 3.377
Pt 0.480 2.949 4.771
Pt -2.447 5.578 2.128
Pt -4.223 1.747 3.490
Pt -3.166 2.789 1.085
Pt -4.942 -1.042 2.447
Pt -6.512 -0.835 0.093
Pt -0.580 -0.475 1.198
Pt -0.876 5.372 4.482
Pt -5.015 6.672 2.064
Pt -7.869 1.588 -0.196
Pt -2.374 -2.136 2.511
Ni -4.471 4.203 2.808
Ni -9.086 -0.510 0.556
Ni 1.697 5.046 4.019
Ni -2.918 0.333 1.767
Pd -2.071 7.769 3.678
Pd -5.317 -3.233 0.897
Pd -1.495 2.191 3.077
Pd -5.894 2.345 1.498


6
Lattice="2.766 0.000 0.000 0.000 2.766 0.000 0.000 0.000 11.683" Properties=species:S:1:pos:R:3 comment="NiPdPt4, relaxed, DFT PBE-GGA" sg=P4/mmm e_form_kj_per_mol_atoms=-5.97 pbc="T T T"
Ni 0.000 0.000 0.000
Pt 1.383 1.383 1.758
Pt 1.383 1.383 9.926
Pt 0.000 0.000 7.870
Pt 0.000 0.000 3.814
Pd 1.383 1.383 5.842